No. 1
Entry from Alexandria: a geometry-optimized CsTiV2O8 structure (GGA+U).

Values from the calculation:
The total energy comes out at -88.1 eV/cell.

Unit cell a=5.6396 b=5.6396 c=8.3530 alpha=90.00 beta=90.00 gamma=120.00
Positions (direct):
1 Cs 0.0000 0.0000 0.0000
2 Ti 0.0000 0.0000 0.5000
3 V 0.3333 0.6667 0.7033
4 V 0.6667 0.3333 0.2967
5 O 0.1622 0.3244 0.6361
6 O 0.1622 0.8378 0.6361
7 O 0.3244 0.1622 0.3639
8 O 0.3333 0.6667 0.9030
9 O 0.6667 0.3333 0.0970
10 O 0.6756 0.8378 0.6361
11 O 0.8378 0.1622 0.3639
12 O 0.8378 0.6756 0.3639



No. 2
Entry from Alexandria: a geometry-optimized CsTiVO4 structure (GGA+U).

Values from the calculation:
The total energy comes out at -104.4 eV/cell.

Unit cell a=5.4791 b=5.6217 c=7.9151 alpha=90.00 beta=90.97 gamma=90.00
Positions (direct):
1 Cs 0.2261 0.2500 0.1119
2 Cs 0.7739 0.7500 0.8881
3 Ti 0.3451 0.2500 0.6360
4 Ti 0.6549 0.7500 0.3640
5 V 0.1614 0.7500 0.4619
6 V 0.8386 0.2500 0.5381
7 O 0.1018 0.0142 0.6444
8 O 0.1018 0.4858 0.6444
9 O 0.3704 0.7500 0.2393
10 O 0.4903 0.2500 0.4356
11 O 0.5097 0.7500 0.5644
12 O 0.6296 0.2500 0.7607
13 O 0.8982 0.5142 0.3556
14 O 0.8982 0.9858 0.3556



No. 3
Entry from Alexandria: a geometry-optimized Cs2TiW3O12 structure (GGA+U).

Values from the calculation:
The total energy comes out at -131.5 eV/cell.

Unit cell a=7.3490 b=7.3490 c=7.3490 alpha=60.49 beta=60.49 gamma=60.49
Positions (direct):
1 Cs 0.1295 0.1295 0.1295
2 Cs 0.8705 0.8705 0.8705
3 Ti 0.5000 0.5000 0.5000
4 W 0.0000 0.5000 0.5000
5 W 0.5000 0.0000 0.5000
6 W 0.5000 0.5000 0.0000
7 O 0.1874 0.1874 0.5594
8 O 0.1874 0.5594 0.1874
9 O 0.1879 0.5588 0.5588
10 O 0.4412 0.4412 0.8121
11 O 0.4412 0.8121 0.4412
12 O 0.4406 0.8126 0.8126
13 O 0.5594 0.1874 0.1874
14 O 0.5588 0.1879 0.5588
15 O 0.5588 0.5588 0.1879
16 O 0.8121 0.4412 0.4412
17 O 0.8126 0.4406 0.8126
18 O 0.8126 0.8126 0.4406